PrEuCd2 | GGA-PBE | relaxed

a = 5.510 Å, b = 5.510 Å, c = 3.927 Å
α = 90.00°, β = 90.00°, γ = 90.00°
Space group P4/mmm (No. 123)
Unique sites:
Pr  0.000  0.000  0.000 [1 per cell]
Eu  0.500  0.500  0.000 [1 per cell]
Cd  0.000  0.500  0.500 [2 per cell]

VASP energy	-0.3354	Ry per atom
E above lowest polymorph	0.000	eV per atom
ΔE_f	-0.34	eV/atom
magnetic moment	7.28	Bohr magnetons per cell